No. 1
Tl2BiAs | PBE-GGA | relaxed

Summary:
For the raw total energy, the calculation gives -3.154 eV/atom. For the energy relative to the elements, the calculation gives 0.161 eV per atom. The energy relative to the lowest polymorph listed for this composition comes out at 150 meV/atom.

Cell: 6.7016 6.7016 13.2189 Å, 90.00 90.00 90.00°
Space group I-42d (No. 122)
One atom of each set of equivalent atoms:
Tl: 0.2191 0.2500 0.1250 x8
Bi: 0.0000 0.0000 0.5000 x4
As: 0.0000 0.0000 0.0000 x4

***

No. 2
Tl8Bi2As | PBE-GGA | relaxed

Summary:
For the raw total energy, the calculation gives -2.848 eV/atom. For the energy relative to the elements, the calculation gives 0.002 eV per atom.

Cell: 18.6364 5.5059 7.6129 Å, 90.00 114.08 90.00°
Space group C2/m (No. 12)
One atom of each set of equivalent atoms:
Tl: 0.9998 0.0000 0.2490 x4
Tl: 0.1427 0.5000 0.3900 x4
Tl: 0.1433 0.5000 0.8966 x4
Tl: 0.1866 0.0000 0.1874 x4
Bi: 0.1771 0.0000 0.6769 x4
As: 0.0000 0.5000 0.0000 x2

***

No. 3
TlBi2As | PBE-GGA | relaxed

Summary:
For the raw total energy, the calculation gives -3.604 eV/atom. For the energy relative to the elements, the calculation gives 0.091 eV per atom. The energy relative to the lowest polymorph listed for this composition comes out at 0 meV/atom.

Cell: 3.9749 3.9749 27.0329 Å, 90.00 90.00 120.00°
Space group R-3m (No. 166, hexagonal axes)
One atom of each set of equivalent atoms:
Tl: 0.0000 0.0000 0.0000 x3
Bi: 0.0000 0.0000 0.2359 x6
As: 0.0000 0.0000 0.5000 x3

***

No. 4
TlBi2As | PBE-GGA | relaxed

Summary:
For the raw total energy, the calculation gives -3.557 eV/atom. For the energy relative to the elements, the calculation gives 0.137 eV per atom. The energy relative to the lowest polymorph listed for this composition comes out at 46 meV/atom.

Cell: 3.9796 3.9796 7.3142 Å, 90.00 90.00 90.00°
Space group P4/mmm (No. 123)
One atom of each set of equivalent atoms:
Tl: 0.0000 0.0000 0.0000 x1
Bi: 0.5000 0.5000 0.2880 x2
As: 0.0000 0.0000 0.5000 x1

***

No. 5
Tl3BiAs | PBE-GGA | relaxed

Summary:
For the raw total energy, the calculation gives -2.831 eV/atom. For the energy relative to the elements, the calculation gives 0.295 eV per atom. The energy relative to the lowest polymorph listed for this composition comes out at 256 meV/atom.

Cell: 5.5232 5.5232 5.5232 Å, 90.00 90.00 90.00°
Space group Pm-3m (No. 221)
One atom of each set of equivalent atoms:
Tl: 0.0000 0.0000 0.5000 x3
Bi: 0.5000 0.5000 0.5000 x1
As: 0.0000 0.0000 0.0000 x1

***

No. 6
Tm3BiAs | PBE-GGA | relaxed

Summary:
For the raw total energy, the calculation gives -5.278 eV/atom. For the energy relative to the elements, the calculation gives -0.889 eV per atom.

Cell: 8.3586 4.2244 15.1397 Å, 90.00 90.00 90.00°
Space group Pnma (No. 62)
One atom of each set of equivalent atoms:
Tm: 0.0262 0.2500 0.1092 x4
Tm: 0.1582 0.2500 0.5283 x4
Tm: 0.1919 0.7500 0.2788 x4
Bi: 0.0850 0.7500 0.6823 x4
As: 0.1826 0.2500 0.9450 x4

***

No. 7
Tm6BiAs5 | PBE-GGA | relaxed

Summary:
For the raw total energy, the calculation gives -5.854 eV/atom. For the energy relative to the elements, the calculation gives -1.358 eV per atom.

Cell: 7.1568 12.3742 7.1380 Å, 90.00 109.53 90.00°
Space group C2/m (No. 12)
One atom of each set of equivalent atoms:
Tm: 0.2369 0.0000 0.2558 x4
Tm: 0.2396 0.1743 0.7424 x8
Bi: 0.0000 0.5000 0.0000 x2
As: 0.0000 0.0000 0.5000 x2
As: 0.0000 0.1670 0.0000 x4
As: 0.0000 0.3372 0.5000 x4

***

No. 8
Tm3Bi2As | PBE-GGA | relaxed

Summary:
For the raw total energy, the calculation gives -5.280 eV/atom. For the energy relative to the elements, the calculation gives -0.975 eV per atom.

Cell: 4.3186 4.3186 18.2943 Å, 90.00 90.00 90.00°
Space group I4/mmm (No. 139)
One atom of each set of equivalent atoms:
Tm: 0.0000 0.0000 0.0000 x2
Tm: 0.0000 0.0000 0.3453 x4
Bi: 0.0000 0.0000 0.1699 x4
As: 0.0000 0.0000 0.5000 x2

***

No. 9
Tm5Bi4As | PBE-GGA | relaxed

Summary:
For the raw total energy, the calculation gives -5.145 eV/atom. For the energy relative to the elements, the calculation gives -0.892 eV per atom.

Cell: 4.3676 4.3676 30.8206 Å, 90.00 90.00 90.00°
Space group I4/mmm (No. 139)
One atom of each set of equivalent atoms:
Tm: 0.0000 0.0000 0.0000 x2
Tm: 0.0000 0.0000 0.2013 x4
Tm: 0.0000 0.0000 0.4080 x4
Bi: 0.0000 0.0000 0.0997 x4
Bi: 0.0000 0.0000 0.3033 x4
As: 0.0000 0.0000 0.5000 x2

***

No. 10
TmBiAs | PBE-GGA | relaxed

Summary:
For the raw total energy, the calculation gives -4.910 eV/atom. For the energy relative to the elements, the calculation gives -0.576 eV per atom.

Cell: 4.7333 4.7333 30.5171 Å, 90.00 90.00 120.00°
Space group R-3m (No. 166, hexagonal axes)
One atom of each set of equivalent atoms:
Tm: 0.0000 0.0000 0.1226 x6
Bi: 0.0000 0.0000 0.3598 x6
As: 0.0000 0.0000 0.2153 x6

***

No. 11
Tm5BiAs6 | PBE-GGA | relaxed

Summary:
For the raw total energy, the calculation gives -5.706 eV/atom. For the energy relative to the elements, the calculation gives -1.194 eV per atom.

Cell: 7.1152 12.3321 7.1114 Å, 90.00 109.49 90.00°
Space group C2/m (No. 12)
One atom of each set of equivalent atoms:
Tm: 0.0000 0.0000 0.0000 x2
Tm: 0.0000 0.1678 0.5000 x4
Tm: 0.0000 0.3356 0.0000 x4
Bi: 0.0000 0.5000 0.5000 x2
As: 0.2439 0.0000 0.7546 x4
As: 0.2447 0.1703 0.2458 x8

***

No. 12
YTmBiAs | PBE-GGA | relaxed

Summary:
For the raw total energy, the calculation gives -5.943 eV/atom. For the energy relative to the elements, the calculation gives -1.077 eV per atom.

Cell: 4.1964 4.1964 21.9468 Å, 90.00 90.00 120.00°
Space group R3m (No. 160, hexagonal axes)
One atom of each set of equivalent atoms:
Y: 0.0000 0.0000 0.0000 x3
Tm: 0.0000 0.0000 0.1861 x3
Bi: 0.0000 0.0000 0.7613 x3
As: 0.0000 0.0000 0.5893 x3

***

No. 13
U2BiAs | PBE-GGA | relaxed

Summary:
For the raw total energy, the calculation gives -8.033 eV/atom. For the energy relative to the elements, the calculation gives -0.256 eV per atom.

Cell: 4.3275 4.3275 20.5491 Å, 90.00 90.00 120.00°
Space group R-3m (No. 166, hexagonal axes)
One atom of each set of equivalent atoms:
U: 0.0000 0.0000 0.2383 x6
Bi: 0.0000 0.0000 0.0000 x3
As: 0.0000 0.0000 0.5000 x3

***

No. 14
UBiAs | PBE-GGA | relaxed

Summary:
For the raw total energy, the calculation gives -6.922 eV/atom. For the energy relative to the elements, the calculation gives -0.316 eV per atom. The energy relative to the lowest polymorph listed for this composition comes out at 0 meV/atom.

Cell: 4.2535 4.2535 8.5199 Å, 90.00 90.00 90.00°
Space group P4/nmm (No. 129, origin choice 2)
One atom of each set of equivalent atoms:
U: 0.2500 0.2500 0.1879 x2
Bi: 0.2500 0.7500 0.5000 x2
As: 0.2500 0.2500 0.8545 x2

***

No. 15
UBiAs2 | PBE-GGA | relaxed

Summary:
For the raw total energy, the calculation gives -6.352 eV/atom. For the energy relative to the elements, the calculation gives -0.235 eV per atom. The energy relative to the lowest polymorph listed for this composition comes out at 0 meV/atom.

Cell: 4.8839 4.8839 3.8315 Å, 90.00 90.00 90.00°
Space group P4/mmm (No. 123)
One atom of each set of equivalent atoms:
U: 0.0000 0.0000 0.0000 x1
Bi: 0.5000 0.5000 0.0000 x1
As: 0.0000 0.5000 0.5000 x2

***

No. 16
UBiAs | PBE-GGA | relaxed

Summary:
For the raw total energy, the calculation gives -6.785 eV/atom. For the energy relative to the elements, the calculation gives -0.179 eV per atom. The energy relative to the lowest polymorph listed for this composition comes out at 137 meV/atom.

Cell: 3.8447 3.8447 10.9335 Å, 90.00 90.00 90.00°
Space group I4mm (No. 107)
One atom of each set of equivalent atoms:
U: 0.0000 0.0000 0.0000 x2
Bi: 0.0000 0.0000 0.3111 x2
As: 0.0000 0.0000 0.5858 x2

***

No. 17
UBiAs2 | PBE-GGA | relaxed

Summary:
For the raw total energy, the calculation gives -6.138 eV/atom. For the energy relative to the elements, the calculation gives -0.021 eV per atom. The energy relative to the lowest polymorph listed for this composition comes out at 213 meV/atom.

Cell: 4.0461 4.0461 26.4956 Å, 90.00 90.00 120.00°
Space group R-3m (No. 166, hexagonal axes)
One atom of each set of equivalent atoms:
U: 0.0000 0.0000 0.0000 x3
Bi: 0.0000 0.0000 0.5000 x3
As: 0.0000 0.0000 0.3910 x6

***

No. 18
U2BiAs | PBE-GGA | relaxed

Summary:
For the raw total energy, the calculation gives -8.007 eV/atom. For the energy relative to the elements, the calculation gives -0.230 eV per atom.

Cell: 3.5864 3.5864 7.7110 Å, 90.00 90.00 90.00°
Space group P4/mmm (No. 123)
One atom of each set of equivalent atoms:
U: 0.0000 0.0000 0.2149 x2
Bi: 0.5000 0.5000 0.5000 x1
As: 0.5000 0.5000 0.0000 x1

***

No. 19
UBiAs | PBE-GGA | relaxed

Summary:
For the raw total energy, the calculation gives -6.609 eV/atom. For the energy relative to the elements, the calculation gives -0.003 eV per atom. The energy relative to the lowest polymorph listed for this composition comes out at 313 meV/atom.

Cell: 4.7757 4.7757 4.0865 Å, 90.00 90.00 120.00°
Space group P-6m2 (No. 187)
One atom of each set of equivalent atoms:
U: 0.0000 0.0000 0.0000 x1
Bi: 0.3333 0.6667 0.5000 x1
As: 0.6667 0.3333 0.0000 x1

***

No. 20
U2BiAs | PBE-GGA | relaxed

Summary:
For the raw total energy, the calculation gives -7.975 eV/atom. For the energy relative to the elements, the calculation gives -0.199 eV per atom.

Cell: 4.0694 4.0694 23.2173 Å, 90.00 90.00 120.00°
Space group R3m (No. 160, hexagonal axes)
One atom of each set of equivalent atoms:
U: 0.0000 0.0000 0.0000 x3
U: 0.0000 0.0000 0.1875 x3
Bi: 0.0000 0.0000 0.4261 x3
As: 0.0000 0.0000 0.5949 x3

***

No. 21
VBiAs2 | PBE-GGA | relaxed

Summary:
For the raw total energy, the calculation gives -5.633 eV/atom. For the energy relative to the elements, the calculation gives -0.059 eV per atom.

Cell: 3.2554 3.2554 7.4914 Å, 90.00 90.00 90.00°
Space group P4/mmm (No. 123)
One atom of each set of equivalent atoms:
V: 0.0000 0.0000 0.0000 x1
Bi: 0.0000 0.0000 0.5000 x1
As: 0.5000 0.5000 0.1773 x2

***

No. 22
V2BiAs | PBE-GGA | relaxed

Summary:
For the raw total energy, the calculation gives -6.350 eV/atom. For the energy relative to the elements, the calculation gives 0.342 eV per atom.

Cell: 7.3376 7.3376 6.2246 Å, 90.00 90.00 90.00°
Space group I-42d (No. 122)
One atom of each set of equivalent atoms:
V: 0.1953 0.7500 0.1250 x8
Bi: 0.0000 0.0000 0.5000 x4
As: 0.0000 0.0000 0.0000 x4

***

No. 23
VBiAs2 | PBE-GGA | relaxed

Summary:
For the raw total energy, the calculation gives -5.704 eV/atom. For the energy relative to the elements, the calculation gives -0.130 eV per atom.

Cell: 3.3111 3.3111 27.8389 Å, 90.00 90.00 120.00°
Space group R-3m (No. 166, hexagonal axes)
One atom of each set of equivalent atoms:
V: 0.0000 0.0000 0.0000 x3
Bi: 0.0000 0.0000 0.5000 x3
As: 0.0000 0.0000 0.3918 x6

***

No. 24
VBiAs2 | PBE-GGA | relaxed

Summary:
For the raw total energy, the calculation gives -5.439 eV/atom. For the energy relative to the elements, the calculation gives 0.136 eV per atom.

Cell: 6.1160 6.1160 12.2133 Å, 90.00 90.00 90.00°
Space group I-42d (No. 122)
One atom of each set of equivalent atoms:
V: 0.0000 0.0000 0.0000 x4
Bi: 0.0000 0.0000 0.5000 x4
As: 0.1889 0.2500 0.1250 x8

***

No. 25
VBi2As | PBE-GGA | relaxed

Summary:
For the raw total energy, the calculation gives -4.817 eV/atom. For the energy relative to the elements, the calculation gives 0.566 eV per atom.

Cell: 6.4089 6.4089 13.1966 Å, 90.00 90.00 90.00°
Space group I-42d (No. 122)
One atom of each set of equivalent atoms:
V: 0.0000 0.0000 0.0000 x4
Bi: 0.2339 0.2500 0.1250 x8
As: 0.0000 0.0000 0.5000 x4

***

No. 26
VBiAs3 | PBE-GGA | relaxed

Summary:
For the raw total energy, the calculation gives -5.148 eV/atom. For the energy relative to the elements, the calculation gives 0.241 eV per atom. The energy relative to the lowest polymorph listed for this composition comes out at 0 meV/atom.

Cell: 4.8269 4.8269 4.8269 Å, 90.00 90.00 90.00°
Space group Pm-3m (No. 221)
One atom of each set of equivalent atoms:
V: 0.0000 0.0000 0.0000 x1
Bi: 0.5000 0.5000 0.5000 x1
As: 0.0000 0.0000 0.5000 x3

***

No. 27
V2BiAs | PBE-GGA | relaxed

Summary:
For the raw total energy, the calculation gives -6.407 eV/atom. For the energy relative to the elements, the calculation gives 0.285 eV per atom.

Cell: 6.5052 6.5052 6.5052 Å, 90.00 90.00 90.00°
Space group Fm-3m (No. 225)
One atom of each set of equivalent atoms:
V: 0.2500 0.2500 0.2500 x8
Bi: 0.0000 0.0000 0.0000 x4
As: 0.0000 0.0000 0.5000 x4